Entry 1:
A crystal of KCoF3 relaxed with PBEsol, computed with SCAN.

Calculated values
For the final energy, the calculation gives -8.107 eV per atom. As for the energy relative to the elements, uncorrected: -0.8568 eV per atom. The calculation puts the total magnetization at 3.03 Bohr magnetons per cell.

abc: 4.5495 4.5495 4.5495
angles: 90.00 90.00 90.00
Closest atoms and distances in Å follow each position.
Fractional positions:
1 K 0.0000 0.0000 0.0000  6 F 2.27
2 Co 0.5000 0.5000 0.5000  12 F 3.22
3 F 0.0000 0.0000 0.5000  2 K 2.27
4 F 0.0000 0.5000 0.0000  2 K 2.27
5 F 0.5000 0.0000 0.0000  2 K 2.27


Entry 2:
A crystal of K3CoF6 relaxed with PBEsol, computed with SCAN.

Calculated values
For the final energy, the calculation gives -9.105 eV per atom. As for the energy relative to the elements, uncorrected: -2.7524 eV per atom. The calculation puts the total magnetization at 0.14 Bohr magnetons per cell.

abc: 6.0394 6.0394 6.0394
angles: 60.00 60.00 60.00
Closest atoms and distances in Å follow each position.
Fractional positions:
1 K 0.0000 0.0000 0.0000  6 F 2.43
2 K 0.2500 0.2500 0.2500  12 F 3.03
3 K 0.7500 0.7500 0.7500  12 F 3.03
4 Co 0.5000 0.5000 0.5000  6 F 1.84
5 F 0.2850 0.2850 0.7150  1 Co 1.84
6 F 0.2850 0.7150 0.2850  1 Co 1.84
7 F 0.2850 0.7150 0.7150  1 Co 1.84
8 F 0.7150 0.2850 0.2850  1 Co 1.84
9 F 0.7150 0.2850 0.7150  1 Co 1.84
10 F 0.7150 0.7150 0.2850  1 Co 1.84


Entry 3:
A crystal of K2CoF relaxed with PBEsol, computed with SCAN.

Calculated values
For the final energy, the calculation gives -9.935 eV per atom. As for the energy relative to the elements, uncorrected: -0.5594 eV per atom. The calculation puts the total magnetization at 2.00 Bohr magnetons per cell.

abc: 5.2885 5.2885 5.2885
angles: 60.00 60.00 60.00
Closest atoms and distances in Å follow each position.
Fractional positions:
1 K 0.2500 0.2500 0.2500  4 F 3.24, 4 Co 3.24
2 K 0.7500 0.7500 0.7500  4 F 3.24, 4 Co 3.24
3 Co 0.0000 0.0000 0.0000  8 K 3.24
4 F 0.5000 0.5000 0.5000  8 K 3.24